Entry 1:
{"formula": "Li5SiAu6", "functional": "PBE", "state": "relaxed", "space_group": "C2/m (12)", "cell": [[-1.7974, -0.3546, 3.9445], [-5.7116, 0.3817, -4.9745], [4.9528, -5.7048, -0.6623]], "species": ["Li", "Li", "Li", "Li", "Li", "Au", "Au", "Au", "Au", "Au", "Au", "Si"], "frac_coords": [[0.0000, 0.3335, 0.6665], [0.5000, 0.1682, 0.8318], [0.5000, 0.8318, 0.1682], [0.5000, 0.5000, 0.5000], [0.0000, 0.6665, 0.3335], [0.7526, 0.9177, 0.5851], [0.2474, 0.0823, 0.4149], [0.7526, 0.5851, 0.9177], [0.7463, 0.2474, 0.2474], [0.2537, 0.7526, 0.7526], [0.2474, 0.4149, 0.0823], [0.0000, 0.0000, 0.0000]]}

Entry 2:
{"formula": "Li2Si2Au", "functional": "PBE", "state": "relaxed", "space_group": "C2/m (12)", "cell": [[4.2735, 0.0000, 0.0000], [-2.1368, 5.0099, -1.2424], [0.0000, -0.0570, 7.7638]], "species": ["Si", "Si", "Si", "Si", "Li", "Li", "Li", "Li", "Au", "Au"], "frac_coords": [[0.9097, 0.8194, 0.3610], [0.0438, 0.0877, 0.1510], [0.9562, 0.9123, 0.8490], [0.0903, 0.1806, 0.6390], [0.6510, 0.3019, 0.0298], [0.4058, 0.8116, 0.6284], [0.5942, 0.1884, 0.3716], [0.3490, 0.6981, 0.9702], [0.7181, 0.4363, 0.7136], [0.2819, 0.5637, 0.2864]]}

Entry 3:
{"formula": "Li4SiAu3", "functional": "PBE", "state": "relaxed", "space_group": "P4/mmm (123)", "cell": [[3.2327, 0.0000, 0.0000], [0.0000, 3.2327, 0.0000], [0.0000, 0.0000, 11.3169]], "species": ["Li", "Li", "Li", "Li", "Au", "Au", "Au", "Si"], "frac_coords": [[0.0000, 0.0000, 0.1205], [0.0000, 0.0000, 0.8795], [0.0000, 0.0000, 0.6277], [0.0000, 0.0000, 0.3723], [0.5000, 0.5000, 0.2401], [0.5000, 0.5000, 0.5000], [0.5000, 0.5000, 0.7599], [0.5000, 0.5000, 0.0000]]}

Entry 4:
{"formula": "LiSiAu", "functional": "PBE", "state": "relaxed", "space_group": "Cm (8)", "cell": [[-2.3334, -2.5787, 2.6384], [-3.5705, -2.9894, -2.3891], [2.5785, -4.1179, 1.9461]], "species": ["Au", "Au", "Si", "Si", "Li", "Li"], "frac_coords": [[0.9807, 0.3862, 0.7566], [0.9807, 0.7566, 0.3862], [0.4783, 0.2300, 0.9174], [0.4783, 0.9174, 0.2300], [0.2364, 0.8154, 0.8154], [0.7220, 0.3296, 0.3296]]}

Entry 5:
{"formula": "LiSiAu2", "functional": "PBE", "state": "relaxed", "space_group": "I-4m2 (119)", "cell": [[-2.0596, 1.7319, -4.1941], [-3.9644, -2.6548, -1.4378], [1.3701, 2.1082, 4.3023]], "species": ["Li", "Si", "Au", "Au"], "frac_coords": [[0.5000, 0.5000, 0.0000], [0.7500, 0.2500, 0.5000], [0.2500, 0.7500, 0.5000], [0.0000, 0.0000, 0.0000]]}

Entry 6:
{"formula": "LiSiAu6", "functional": "PBE", "state": "relaxed", "e_above_lowest_polymorph_kj_per_mol_fu": 59, "space_group": "P-1 (2)", "cell": [[6.5422, 0.0284, 0.0340], [3.2845, 5.6616, 0.0459], [3.2670, 1.8851, 3.9678]], "species": ["Si", "Au", "Au", "Au", "Au", "Au", "Au", "Li"], "frac_coords": [[0.0000, 0.0000, 0.0000], [0.4748, 0.7617, 0.7710], [0.0055, 0.5270, 0.2288], [0.7625, 0.9925, 0.7725], [0.2375, 0.0075, 0.2275], [0.9945, 0.4730, 0.7712], [0.5252, 0.2383, 0.2290], [0.5000, 0.5000, 0.5000]]}

Entry 7:
{"formula": "LiSiAu4", "functional": "PBE", "state": "relaxed", "e_above_lowest_polymorph_kj_per_mol_fu": 0, "space_group": "P-1 (2)", "cell": [[-3.1993, 1.0859, -3.4532], [3.4641, -3.6855, -4.3246], [-2.7475, -5.3454, 4.2224]], "species": ["Au", "Au", "Au", "Au", "Au", "Au", "Au", "Au", "Si", "Si", "Li", "Li"], "frac_coords": [[0.7043, 0.4249, 0.1463], [0.6708, 0.3786, 0.6550], [0.3292, 0.6214, 0.3450], [0.0186, 0.1237, 0.3475], [0.2957, 0.5751, 0.8537], [0.5585, 0.0727, 0.8528], [0.4415, 0.9273, 0.1472], [0.9814, 0.8763, 0.6525], [0.0000, 0.5000, 0.5000], [0.5000, 0.0000, 0.5000], [0.8750, 0.7494, 0.0009], [0.1250, 0.2506, 0.9991]]}

Entry 8:
{"formula": "LiSiAu2", "functional": "PBE", "state": "relaxed", "space_group": "P4/mmm (123)", "cell": [[2.8258, 0.0166, 0.0000], [-0.0159, 2.8258, 0.0000], [0.0000, 0.0000, 8.2064]], "species": ["Li", "Si", "Au", "Au"], "frac_coords": [[0.5000, 0.5000, 0.2500], [0.5000, 0.5000, 0.7500], [0.0000, 0.0000, 0.0140], [0.0000, 0.0000, 0.4860]]}

Entry 9:
{"formula": "LiSi2Au8", "functional": "PBE", "state": "relaxed", "e_above_lowest_polymorph_kj_per_mol_fu": 0, "space_group": "C2/m (12)", "cell": [[4.5139, -0.0576, -0.0865], [-0.8266, 6.7473, 0.2198], [-0.8266, -2.3959, 6.3114]], "species": ["Au", "Au", "Au", "Au", "Au", "Au", "Au", "Au", "Si", "Si", "Li"], "frac_coords": [[0.5000, 0.7514, 0.2486], [0.6152, 0.3399, 0.3399], [0.9237, 0.9477, 0.6858], [0.0763, 0.0523, 0.3142], [0.5000, 0.2486, 0.7514], [0.3848, 0.6601, 0.6601], [0.9237, 0.6858, 0.9477], [0.0763, 0.3142, 0.0523], [0.0000, 0.6525, 0.3475], [0.0000, 0.3475, 0.6525], [0.5000, 0.0000, 0.0000]]}

Entry 10:
{"formula": "Li2Si2Au", "functional": "PBE", "state": "relaxed", "space_group": "P4/mbm (127)", "cell": [[6.2741, 0.0000, 0.0000], [0.0000, 6.2741, 0.0000], [0.0000, 0.0000, 4.1751]], "species": ["Si", "Si", "Si", "Si", "Li", "Li", "Li", "Li", "Au", "Au"], "frac_coords": [[0.8703, 0.6297, 0.0000], [0.3703, 0.8703, 0.0000], [0.1297, 0.3703, 0.0000], [0.6297, 0.1297, 0.0000], [0.3358, 0.1642, 0.5000], [0.1642, 0.6642, 0.5000], [0.8358, 0.3358, 0.5000], [0.6642, 0.8358, 0.5000], [0.5000, 0.5000, 0.0000], [0.0000, 0.0000, 0.0000]]}

Entry 11:
{"formula": "LiSiAu2", "functional": "PBE", "state": "relaxed", "space_group": "P4/mmm (123)", "cell": [[-0.2094, -0.2408, 4.2610], [0.4143, -4.2472, -0.2190], [3.3810, 0.3203, 0.1843]], "species": ["Au", "Au", "Si", "Li"], "frac_coords": [[0.0000, 0.0000, 0.0000], [0.5000, 0.5000, 0.0000], [0.0000, 0.5000, 0.5000], [0.5000, 0.0000, 0.5000]]}

Number 1: total moment 0.0 μB/cell, total DFT energy (no corrections) -3.354 eV per atom, formation energy from raw total energies -10.7 kcal/mol of atoms. Number 2: total moment 0.0 μB/cell, total DFT energy (no corrections) -3.889 eV per atom, formation energy from raw total energies -6.9 kcal/mol of atoms. Number 3: total moment 0.0 μB/cell, total DFT energy (no corrections) -3.293 eV per atom, formation energy from raw total energies -9.9 kcal/mol of atoms. Number 4: total moment 0.0 μB/cell, total DFT energy (no corrections) -3.865 eV per atom, formation energy from raw total energies -7.5 kcal/mol of atoms. Number 5: total moment 0.0 μB/cell, total DFT energy (no corrections) -3.681 eV per atom, formation energy from raw total energies -4.8 kcal/mol of atoms. Number 6: total moment 0.0 μB/cell, total DFT energy (no corrections) -3.449 eV per atom, formation energy from raw total energies -1.7 kcal/mol of atoms. Number 7: total moment 0.0 μB/cell, total DFT energy (no corrections) -3.562 eV per atom, formation energy from raw total energies -3.6 kcal/mol of atoms. Number 8: total moment 0.0 μB/cell, total DFT energy (no corrections) -3.572 eV per atom, formation energy from raw total energies -2.3 kcal/mol of atoms. Number 9: total moment 0.0 μB/cell, total DFT energy (no corrections) -3.649 eV per atom, formation energy from raw total energies -2.4 kcal/mol of atoms. Number 10: total moment 0.0 μB/cell, total DFT energy (no corrections) -3.921 eV per atom, formation energy from raw total energies -7.6 kcal/mol of atoms. Number 11: total moment 0.0 μB/cell, total DFT energy (no corrections) -3.727 eV per atom, formation energy from raw total energies -5.9 kcal/mol of atoms.